! CaBe2Br, optimized geometry, DFT PBE-GGA; values from VASP
! ΔE_f (raw) = 0.842 eV/atom
! Energy relative to the lowest polymorph listed for this composition = 354 kJ/mol of formula units
&SYSTEM
  ibrav = 0, nat = 4, ntyp = 3
/
ATOMIC_SPECIES
Ca 40.08 Ca.upf
Be 9.01 Be.upf
Br 79.90 Br.upf
CELL_PARAMETERS angstrom
0.000 3.492 3.492
3.492 0.000 3.492
3.492 3.492 0.000
ATOMIC_POSITIONS crystal
Ca 0.000 0.000 0.000
Be 0.250 0.250 0.250
Be 0.750 0.750 0.750
Br 0.500 0.500 0.500

***

! CaBeBr3, optimized geometry, DFT PBE-GGA; values from VASP
! ΔE_f (raw) = -0.793 eV/atom
! Energy relative to the lowest polymorph listed for this composition = 0 kJ/mol of formula units
&SYSTEM
  ibrav = 0, nat = 5, ntyp = 3
/
ATOMIC_SPECIES
Ca 40.08 Ca.upf
Be 9.01 Be.upf
Br 79.90 Br.upf
CELL_PARAMETERS angstrom
4.946 0.000 0.000
0.000 4.946 0.000
0.000 0.000 4.946
ATOMIC_POSITIONS crystal
Ca 0.000 0.000 0.000
Be 0.500 0.500 0.500
Br 0.000 0.500 0.500
Br 0.500 0.000 0.500
Br 0.500 0.500 0.000

***

! CaBe2Br, optimized geometry, DFT PBE-GGA; values from VASP
! ΔE_f (raw) = 0.570 eV/atom
! Energy relative to the lowest polymorph listed for this composition = 249 kJ/mol of formula units
&SYSTEM
  ibrav = 0, nat = 4, ntyp = 3
/
ATOMIC_SPECIES
Ca 40.08 Ca.upf
Be 9.01 Be.upf
Br 79.90 Br.upf
CELL_PARAMETERS angstrom
1.776 1.025 7.919
-1.776 1.025 7.919
0.000 -2.051 7.919
ATOMIC_POSITIONS crystal
Ca 0.000 0.000 0.000
Be 0.240 0.240 0.240
Be 0.760 0.760 0.760
Br 0.500 0.500 0.500

***

! CaBe2Br, optimized geometry, DFT PBE-GGA; values from VASP
! ΔE_f (raw) = 0.412 eV/atom
! Energy relative to the lowest polymorph listed for this composition = 189 kJ/mol of formula units
&SYSTEM
  ibrav = 0, nat = 4, ntyp = 3
/
ATOMIC_SPECIES
Ca 40.08 Ca.upf
Be 9.01 Be.upf
Br 79.90 Br.upf
CELL_PARAMETERS angstrom
-2.126 2.126 4.370
2.126 -2.126 4.370
2.126 2.126 -4.370
ATOMIC_POSITIONS crystal
Ca 0.000 0.000 0.000
Be 0.250 0.750 0.500
Be 0.500 0.500 0.000
Br 0.750 0.250 0.500

***

Please write out number 4 again, unchanged.
! CaBe2Br, optimized geometry, DFT PBE-GGA; values from VASP
! ΔE_f (raw) = 0.412 eV/atom
! Energy relative to the lowest polymorph listed for this composition = 189 kJ/mol of formula units
&SYSTEM
  ibrav = 0, nat = 4, ntyp = 3
/
ATOMIC_SPECIES
Ca 40.08 Ca.upf
Be 9.01 Be.upf
Br 79.90 Br.upf
CELL_PARAMETERS angstrom
-2.126 2.126 4.370
2.126 -2.126 4.370
2.126 2.126 -4.370
ATOMIC_POSITIONS crystal
Ca 0.000 0.000 0.000
Be 0.250 0.750 0.500
Be 0.500 0.500 0.000
Br 0.750 0.250 0.500